No. 1
# HfP2PbCl

A relaxed structure of HfP2PbCl (PBEsol, the Alexandria database).

Lattice parameters (Å, degrees): 5.0468 5.0468 4.9347 90.00 90.00 90.00
Closest atoms and distances in Å follow each position.
Sites, in units of the cell vectors:
Hf 0.0000 0.0000 0.0000  8 P 3.53, 4 Cl 3.57
P 0.0000 0.5000 0.5000  2 Pb 2.52
P 0.5000 0.0000 0.5000  2 Pb 2.52
Pb 0.5000 0.5000 0.5000  2 Cl 2.47, 4 P 2.52
Cl 0.5000 0.5000 0.0000  2 Pb 2.47

Values from the calculation:
For the total energy, the calculation gives -4.65 eV per atom. Its calculated density is 6.383 Mg/m³. As for the calculated volume: 126 Å³/cell. The formation energy without anion corrections is 0.967 eV/atom.



No. 2
# HfRePCl2

A relaxed structure of HfRePCl2 (PBEsol, the Alexandria database).

Lattice parameters (Å, degrees): 4.7464 4.7464 5.1817 90.00 90.00 90.00
Closest atoms and distances in Å follow each position.
Sites, in units of the cell vectors:
Hf 0.0000 0.0000 0.0000  4 Cl 2.37, 2 P 2.59
Re 0.5000 0.5000 0.5000  4 P 3.36, 8 Cl 3.51
P 0.0000 0.0000 0.5000  2 Hf 2.59
Cl 0.0000 0.5000 0.0000  2 Hf 2.37
Cl 0.5000 0.0000 0.0000  2 Hf 2.37

Values from the calculation:
For the total energy, the calculation gives -6.09 eV per atom. Its calculated density is 6.637 Mg/m³. As for the calculated volume: 117 Å³/cell. The formation energy without anion corrections is 0.640 eV/atom.



No. 3
# HfP2RhCl

A relaxed structure of HfP2RhCl (PBEsol, the Alexandria database).

Lattice parameters (Å, degrees): 4.5450 4.5450 4.5089 90.00 90.00 90.00
Closest atoms and distances in Å follow each position.
Sites, in units of the cell vectors:
Hf 0.0000 0.0000 0.0000  8 P 3.20, 4 Cl 3.21
P 0.0000 0.5000 0.5000  2 Rh 2.27
P 0.5000 0.0000 0.5000  2 Rh 2.27
Rh 0.5000 0.5000 0.5000  2 Cl 2.25, 4 P 2.27
Cl 0.5000 0.5000 0.0000  2 Rh 2.25

Values from the calculation:
For the total energy, the calculation gives -6.17 eV per atom. Its calculated density is 6.753 Mg/m³. The energy above the lowest structure with this stoichiometry is 0 meV/atom. As for the calculated volume: 93 Å³/cell. The formation energy without anion corrections is 0.276 eV/atom.



No. 4
# HfP2RhCl

A relaxed structure of HfP2RhCl (PBEsol, the Alexandria database).

Lattice parameters (Å, degrees): 4.9218 4.9218 4.6927 90.00 90.00 90.00
Closest atoms and distances in Å follow each position.
Sites, in units of the cell vectors:
Hf 0.0000 0.0000 0.0000  2 Cl 2.35, 4 P 2.46
P 0.0000 0.5000 0.0000  2 Hf 2.46
P 0.5000 0.0000 0.0000  2 Hf 2.46
Rh 0.5000 0.5000 0.5000  8 P 3.40, 4 Cl 3.48
Cl 0.0000 0.0000 0.5000  2 Hf 2.35

Values from the calculation:
For the total energy, the calculation gives -5.86 eV per atom. Its calculated density is 5.533 Mg/m³. The energy above the lowest structure with this stoichiometry is 308 meV/atom. As for the calculated volume: 114 Å³/cell. The formation energy without anion corrections is 0.584 eV/atom.



> Which of these has the lowest calculated density?

number 4



> Among the records above, which one has the lowest calculated density?

number 4



> What is the formation energy without anion corrections in the third record?

0.276 eV/atom



> Look up the calculated density of the third one.

6.753 Mg/m³